# 1
Crystalline LiAlCrTc at its relaxed geometry, computed with PBE.

Summary:
calculated formation energy = -0.066 eV/atom
calculated volume = 13.0 Å³ per atom
total magnetic moment = 0.84 μB per cell

Cell lengths 4.187, 4.187, 4.187 Å; angles 60.00, 60.00, 60.00 degrees
Atoms (fractional coordinates):
1 Cr 0.500 0.500 0.500
2 Li 0.000 0.000 0.000
3 Tc 0.250 0.250 0.250
4 Al 0.750 0.750 0.750


# 2
Crystalline ZrTaCr2 at its relaxed geometry, computed with PBE.

Summary:
ΔE to the lowest computed polymorph = 618 meV/atom
calculated formation energy = 0.759 eV/atom
calculated volume = 17.1 Å³ per atom
total magnetic moment = 4.99 μB per cell

Cell lengths 6.981, 6.981, 5.676 Å; angles 52.05, 52.05, 90.00 degrees
Atoms (fractional coordinates):
1 Cr 0.637 0.125 0.250
2 Cr 0.113 0.625 0.250
3 Cr 0.375 0.363 0.750
4 Cr 0.875 0.887 0.750
5 Zr 0.500 0.500 0.000
6 Zr 0.250 0.750 0.500
7 Ta 0.000 0.000 0.000
8 Ta 0.750 0.250 0.500


# 3
Crystalline Sc2AlCl at its relaxed geometry, computed with PBE.

Summary:
E_form (uncorrected) = -0.163 eV per atom
ΔE to the lowest computed polymorph = 641 meV/atom
calculated volume = 27.3 Å³ per atom
total magnetic moment = 0.00 μB per cell

Cell lengths 5.624, 5.624, 7.965 Å; angles 69.33, 69.33, 90.00 degrees
Atoms (fractional coordinates):
1 Sc 0.651 0.125 0.250
2 Sc 0.099 0.625 0.250
3 Sc 0.375 0.349 0.750
4 Sc 0.875 0.901 0.750
5 Al 0.500 0.500 0.000
6 Al 0.250 0.750 0.500
7 Cl 0.000 0.000 0.000
8 Cl 0.750 0.250 0.500


# 4
Crystalline ZnMo3Os at its relaxed geometry, computed with PBE.

Summary:
ΔE to the lowest computed polymorph = 0 meV/atom
calculated formation energy = 1.618 eV/atom
calculated volume = 21.3 Å³ per atom
total magnetic moment = 0.00 μB per cell

Cell lengths 4.742, 4.742, 4.742 Å; angles 90.00, 90.00, 90.00 degrees
Atoms (fractional coordinates):
1 Mo 0.000 0.500 0.000
2 Mo 0.000 0.000 0.500
3 Mo 0.500 0.000 0.000
4 Os 0.000 0.000 0.000
5 Zn 0.500 0.500 0.500


# 5
Crystalline Ac4PmEr at its relaxed geometry, computed with PBE.

Summary:
ΔE to the lowest computed polymorph = 214 meV/atom
calculated formation energy = 0.370 eV/atom
calculated volume = 43.0 Å³ per atom
total magnetic moment = 0.00 μB per cell

Cell lengths 7.144, 7.144, 7.144 Å; angles 60.00, 60.00, 60.00 degrees
Atoms (fractional coordinates):
1 Ac 0.626 0.626 0.123
2 Ac 0.626 0.123 0.626
3 Ac 0.626 0.626 0.626
4 Ac 0.123 0.626 0.626
5 Pm 0.250 0.250 0.250
6 Er 0.000 0.000 0.000


# 6
Crystalline KCuTc2 at its relaxed geometry, computed with PBE.

Summary:
ΔE to the lowest computed polymorph = 793 meV/atom
calculated formation energy = 1.379 eV/atom
calculated volume = 18.0 Å³ per atom
total magnetic moment = 0.00 μB per cell

Cell lengths 5.845, 5.845, 5.845 Å; angles 142.96, 142.96, 53.39 degrees
Atoms (fractional coordinates):
1 Cu 0.250 0.750 0.500
2 K 0.750 0.250 0.500
3 Tc 0.000 0.000 0.000
4 Tc 0.500 0.500 0.000


# 7
Crystalline GaMo2C at its relaxed geometry, computed with PBE.

Summary:
ΔE to the lowest computed polymorph = 248 meV/atom
calculated formation energy = 0.124 eV/atom
calculated volume = 13.5 Å³ per atom
total magnetic moment = 0.00 μB per cell

Cell lengths 2.984, 5.593, 6.936 Å; angles 75.87, 89.91, 75.02 degrees
Atoms (fractional coordinates):
1 Mo 0.978 0.244 0.967
2 Mo 0.597 0.992 0.308
3 Mo 0.234 0.695 0.048
4 Mo 0.356 0.484 0.419
5 C 0.932 0.336 0.243
6 C 0.606 0.972 0.004
7 Ga 0.054 0.079 0.623
8 Ga 0.764 0.663 0.689


# 8
Crystalline NdHo5TmSc2 at its relaxed geometry, computed with PBE.

Summary:
calculated formation energy = 0.170 eV/atom
calculated volume = 30.8 Å³ per atom
total magnetic moment = 0.00 μB per cell

Cell lengths 5.574, 11.081, 9.272 Å; angles 90.00, 90.00, 104.57 degrees
Atoms (fractional coordinates):
1 Nd 0.816 0.632 0.517
2 Nd 0.184 0.368 0.017
3 Ho 0.393 0.786 0.048
4 Ho 0.734 0.468 0.833
5 Ho 0.468 0.937 0.749
6 Ho 0.308 0.615 0.719
7 Ho 0.991 0.981 0.515
8 Ho 0.607 0.214 0.548
9 Ho 0.266 0.532 0.333
10 Ho 0.532 0.063 0.249
11 Ho 0.692 0.385 0.219
12 Ho 0.009 0.019 0.015
13 Tm 0.597 0.194 0.920
14 Tm 0.403 0.806 0.420
15 Sc 0.886 0.773 0.825
16 Sc 0.137 0.274 0.698
17 Sc 0.114 0.227 0.325
18 Sc 0.863 0.726 0.198


# 9
Crystalline BaCa2Ir at its relaxed geometry, computed with PBE.

Summary:
ΔE to the lowest computed polymorph = 411 meV/atom
calculated formation energy = 0.172 eV/atom
calculated volume = 28.8 Å³ per atom
total magnetic moment = 0.00 μB per cell

Cell lengths 5.464, 5.464, 5.464 Å; angles 60.00, 60.00, 60.00 degrees
Atoms (fractional coordinates):
1 Ca 0.000 0.000 0.000
2 Ca 0.250 0.250 0.250
3 Ir 0.750 0.750 0.750
4 Ba 0.500 0.500 0.500


# 10
Crystalline LaBi2Sb2Pd7 at its relaxed geometry, computed with PBE.

Summary:
E_form (uncorrected) = -0.434 eV per atom
calculated volume = 22.0 Å³ per atom
total magnetic moment = 0.00 μB per cell

Cell lengths 4.163, 4.163, 15.328 Å; angles 85.52, 85.52, 89.75 degrees
Atoms (fractional coordinates):
1 La 0.000 0.000 0.000
2 Bi 0.873 0.873 0.408
3 Bi 0.127 0.127 0.592
4 Sb 0.572 0.572 0.748
5 Sb 0.428 0.428 0.252
6 Pd 0.500 0.500 0.000
7 Pd 0.364 0.364 0.425
8 Pd 0.636 0.636 0.575
9 Pd 0.959 0.458 0.144
10 Pd 0.458 0.959 0.144
11 Pd 0.542 0.041 0.856
12 Pd 0.041 0.542 0.856


# 11
Crystalline TbPrInPt at its relaxed geometry, computed with PBE.

Summary:
calculated formation energy = -0.669 eV/atom
calculated volume = 25.6 Å³ per atom
total magnetic moment = 0.00 μB per cell

Cell lengths 5.249, 5.249, 5.249 Å; angles 60.00, 60.00, 60.00 degrees
Atoms (fractional coordinates):
1 Pr 0.500 0.500 0.500
2 Tb 0.000 0.000 0.000
3 Pt 0.750 0.750 0.750
4 In 0.250 0.250 0.250


# 12
Crystalline Ho5HgRu2 at its relaxed geometry, computed with PBE.

Summary:
calculated formation energy = -0.433 eV/atom
calculated volume = 24.6 Å³ per atom
total magnetic moment = 0.00 μB per cell

Cell lengths 7.707, 7.707, 8.581 Å; angles 116.69, 116.69, 90.00 degrees
Atoms (fractional coordinates):
1 Ho 0.524 0.708 0.732
2 Ho 0.792 0.976 0.268
3 Ho 0.000 0.000 0.000
4 Ho 0.500 0.500 0.000
5 Ho 0.208 0.024 0.732
6 Ho 0.708 0.208 0.732
7 Ho 0.024 0.524 0.732
8 Ho 0.292 0.792 0.268
9 Ho 0.976 0.476 0.268
10 Ho 0.476 0.292 0.268
11 Hg 0.750 0.750 0.500
12 Hg 0.250 0.250 0.500
13 Ru 0.142 0.358 0.000
14 Ru 0.642 0.142 0.000
15 Ru 0.358 0.858 0.000
16 Ru 0.858 0.642 0.000


# 13
Crystalline TaAgSb2I at its relaxed geometry, computed with PBE.

Summary:
E_form (uncorrected) = 0.592 eV per atom
ΔE to the lowest computed polymorph = 0 meV/atom
calculated volume = 32.4 Å³ per atom
total magnetic moment = 0.00 μB per cell

Cell lengths 5.380, 5.380, 5.597 Å; angles 90.00, 90.00, 90.00 degrees
Atoms (fractional coordinates):
1 I 0.000 0.000 0.500
2 Sb 0.000 0.500 0.000
3 Sb 0.500 0.000 0.000
4 Ag 0.500 0.500 0.500
5 Ta 0.000 0.000 0.000